Entry 1:
Below is crystalline Ac3PmNd4Se8 at its relaxed geometry, with properties calculated at the PBE level.

Its size of the total moment is 0.000 μB per formula unit. As for the density of states at the Fermi level: 9.7 states/eV/f.u. For the uncorrected formation energy, the calculation gives -1.83 eV/atom. For the total energy, the calculation gives -280.13 eV per cell.

a b c (Å): 8.6372 8.6372 21.1501
angles (deg): 90.00 90.00 120.00
Space group R-3m (No. 166, hexagonal axes)
Inequivalent atoms, fractional coordinates:
1 Ac 0.0000 0.5000 0.0000 (multiplicity 9)
2 Pm 0.0000 0.0000 0.0000 (multiplicity 3)
3 Nd 0.0000 0.0000 0.5000 (multiplicity 3)
4 Nd 0.0000 0.5000 0.5000 (multiplicity 9)
5 Se 0.0000 0.0000 0.2450 (multiplicity 6)
6 Se 0.0080 0.5040 0.7528 (multiplicity 18)


Entry 2:
Below is crystalline Ac2Pm2Nd4Sm at its relaxed geometry, with properties calculated at the PBE level.

Its size of the total moment is 0.000 μB per formula unit. As for the density of states at the Fermi level: 11.9 states/eV/f.u. For the total energy, the calculation gives -82.47 eV per cell. The value obtained for the formation energy is 26 kJ/mol of formula units.

a b c (Å): 19.5107 3.7769 10.0590
angles (deg): 90.00 115.69 90.00
Space group C2/m (No. 12)
Inequivalent atoms, fractional coordinates:
1 Ac 0.1471 0.0000 0.1672 (multiplicity 4)
2 Pm 0.1654 0.5000 0.5043 (multiplicity 4)
3 Nd 0.0177 0.5000 0.8214 (multiplicity 4)
4 Nd 0.1829 0.0000 0.8293 (multiplicity 4)
5 Sm 0.0000 0.0000 0.5000 (multiplicity 2)


Entry 3:
Below is crystalline AcPm2Nd5Sm at its relaxed geometry, with properties calculated at the PBE level.

Its size of the total moment is 0.000 μB per formula unit. As for the density of states at the Fermi level: 13.5 states/eV/f.u. For the total energy, the calculation gives -159.09 eV per cell. The value obtained for the formation energy is 231 kJ/mol of formula units.

a b c (Å): 9.0736 9.0736 15.9125
angles (deg): 90.00 90.00 90.00
Space group I4/mcm (No. 140)
Inequivalent atoms, fractional coordinates:
1 Ac 0.0000 0.5000 0.2500 (multiplicity 4)
2 Pm 0.1145 0.3855 0.0000 (multiplicity 8)
3 Nd 0.0000 0.0000 0.0000 (multiplicity 4)
4 Nd 0.2103 0.2897 0.3670 (multiplicity 16)
5 Sm 0.0000 0.0000 0.2500 (multiplicity 4)


Entry 4:
Below is crystalline AcPm2Nd2Sm2 at its relaxed geometry, with properties calculated at the PBE level.

Its size of the total moment is 0.000 μB per formula unit. As for the density of states at the Fermi level: 11.2 states/eV/f.u. For the total energy, the calculation gives -64.79 eV per cell. The value obtained for the formation energy is 18 kJ/mol of formula units.

a b c (Å): 11.6812 5.2380 8.3040
angles (deg): 90.00 98.15 90.00
Space group C2/m (No. 12)
Inequivalent atoms, fractional coordinates:
1 Ac 0.0000 0.0000 0.0000 (multiplicity 2)
2 Pm 0.1426 0.0000 0.4326 (multiplicity 4)
3 Nd 0.0738 0.5000 0.7110 (multiplicity 4)
4 Sm 0.2147 0.5000 0.1482 (multiplicity 4)


Entry 5:
Below is crystalline AcPmNd6Sm2 at its relaxed geometry, with properties calculated at the PBE level.

Its size of the total moment is 0.000 μB per formula unit. As for the density of states at the Fermi level: 14.9 states/eV/f.u. For the total energy, the calculation gives -182.98 eV per cell. The value obtained for the formation energy is 112 kJ/mol of formula units.

a b c (Å): 9.3863 15.6783 9.9216
angles (deg): 90.00 96.55 90.00
Space group C2/c (No. 15)
Inequivalent atoms, fractional coordinates:
1 Ac 0.0000 0.0253 0.2500 (multiplicity 4)
2 Pm 0.0000 0.4088 0.7500 (multiplicity 4)
3 Nd 0.0650 0.1876 0.9456 (multiplicity 8)
4 Nd 0.1018 0.3949 0.1186 (multiplicity 8)
5 Nd 0.2104 0.2290 0.3164 (multiplicity 8)
6 Sm 0.2479 0.4440 0.4547 (multiplicity 8)


Entry 6:
Below is crystalline AcPm6Nd3Sm2 at its relaxed geometry, with properties calculated at the PBE level.

Its size of the total moment is 0.000 μB per formula unit. As for the density of states at the Fermi level: 18.2 states/eV/f.u. For the total energy, the calculation gives -112.21 eV per cell. The value obtained for the formation energy is 24 kJ/mol of formula units.

a b c (Å): 6.3813 11.0502 12.2154
angles (deg): 90.00 100.07 90.00
Space group C2/m (No. 12)
Inequivalent atoms, fractional coordinates:
1 Ac 0.0000 0.0000 0.0000 (multiplicity 2)
2 Pm 0.2475 0.3321 0.7481 (multiplicity 8)
3 Pm 0.2489 0.5000 0.2522 (multiplicity 4)
4 Nd 0.0000 0.1671 0.5000 (multiplicity 4)
5 Nd 0.0000 0.5000 0.5000 (multiplicity 2)
6 Sm 0.0000 0.3335 0.0000 (multiplicity 4)


Entry 7:
Below is crystalline AcPmNdSm2 at its relaxed geometry, with properties calculated at the PBE level.

Its size of the total moment is 0.000 μB per formula unit. As for the density of states at the Fermi level: 8.4 states/eV/f.u. For the total energy, the calculation gives -45.71 eV per cell. The value obtained for the formation energy is 20 kJ/mol of formula units.

a b c (Å): 6.5152 5.9831 9.9318
angles (deg): 90.00 108.88 90.00
Space group P2_1/m (No. 11)
Inequivalent atoms, fractional coordinates:
1 Ac 0.0670 0.2500 0.3003 (multiplicity 2)
2 Pm 0.1376 0.7500 0.0969 (multiplicity 2)
3 Nd 0.3375 0.7500 0.5017 (multiplicity 2)
4 Sm 0.2753 0.2500 0.7059 (multiplicity 2)
5 Sm 0.4640 0.2500 0.0958 (multiplicity 2)


Entry 8:
Below is crystalline AcPmNd5Sm2 at its relaxed geometry, with properties calculated at the PBE level.

Its size of the total moment is 0.000 μB per formula unit. As for the density of states at the Fermi level: 12.5 states/eV/f.u. For the total energy, the calculation gives -159.71 eV per cell. The value obtained for the formation energy is 213 kJ/mol of formula units.

a b c (Å): 9.0297 9.0297 15.9797
angles (deg): 90.00 90.00 90.00
Space group I4/mcm (No. 140)
Inequivalent atoms, fractional coordinates:
1 Ac 0.0000 0.0000 0.2500 (multiplicity 4)
2 Pm 0.0000 0.5000 0.2500 (multiplicity 4)
3 Nd 0.0000 0.0000 0.0000 (multiplicity 4)
4 Nd 0.2006 0.2994 0.1317 (multiplicity 16)
5 Sm 0.1171 0.3829 0.5000 (multiplicity 8)


Entry 9:
Below is crystalline AcPm5Nd2Sm at its relaxed geometry, with properties calculated at the PBE level.

Its size of the total moment is 0.000 μB per formula unit. As for the density of states at the Fermi level: 12.8 states/eV/f.u. For the total energy, the calculation gives -158.99 eV per cell. The value obtained for the formation energy is 228 kJ/mol of formula units.

a b c (Å): 8.9809 8.9809 16.0669
angles (deg): 90.00 90.00 90.00
Space group I4/mcm (No. 140)
Inequivalent atoms, fractional coordinates:
1 Ac 0.0000 0.5000 0.2500 (multiplicity 4)
2 Pm 0.0000 0.0000 0.0000 (multiplicity 4)
3 Pm 0.2112 0.2888 0.1341 (multiplicity 16)
4 Nd 0.1161 0.3839 0.5000 (multiplicity 8)
5 Sm 0.0000 0.0000 0.2500 (multiplicity 4)


Entry 10:
Below is crystalline Ac2PmNdSm2 at its relaxed geometry, with properties calculated at the PBE level.

Its size of the total moment is 0.000 μB per formula unit. As for the density of states at the Fermi level: 9.3 states/eV/f.u. For the total energy, the calculation gives -53.41 eV per cell. The value obtained for the formation energy is 45 kJ/mol of formula units.

a b c (Å): 7.3895 5.9648 10.2406
angles (deg): 90.00 90.00 90.00
Space group Pmma (No. 51)
Inequivalent atoms, fractional coordinates:
1 Ac 0.0000 0.0000 0.0000 (multiplicity 2)
2 Ac 0.2500 0.5000 0.1718 (multiplicity 2)
3 Pm 0.0000 0.5000 0.5000 (multiplicity 2)
4 Nd 0.2500 0.0000 0.6656 (multiplicity 2)
5 Sm 0.2500 0.0000 0.3449 (multiplicity 2)
6 Sm 0.2500 0.5000 0.8246 (multiplicity 2)


Entry 11:
Below is crystalline AcPm4Nd2Sm at its relaxed geometry, with properties calculated at the PBE level.

Its size of the total moment is 0.000 μB per formula unit. As for the density of states at the Fermi level: 17.7 states/eV/f.u. For the total energy, the calculation gives -137.30 eV per cell. The value obtained for the formation energy is 293 kJ/mol of formula units.

a b c (Å): 14.0064 13.5577 7.0770
angles (deg): 90.00 120.17 90.00
Space group C2/c (No. 15)
Inequivalent atoms, fractional coordinates:
1 Ac 0.2500 0.2500 0.0000 (multiplicity 4)
2 Pm 0.9999 0.2485 0.0141 (multiplicity 8)
3 Pm 0.2484 0.0080 0.4424 (multiplicity 8)
4 Nd 0.0000 0.5000 0.0000 (multiplicity 4)
5 Nd 0.2500 0.2500 0.5000 (multiplicity 4)
6 Sm 0.0000 0.0000 0.0000 (multiplicity 4)


Entry 12:
Below is crystalline AcPmNd2Sm5 at its relaxed geometry, with properties calculated at the PBE level.

Its size of the total moment is 0.000 μB per formula unit. As for the density of states at the Fermi level: 10.7 states/eV/f.u. For the total energy, the calculation gives -159.33 eV per cell. The value obtained for the formation energy is 208 kJ/mol of formula units.

a b c (Å): 8.9564 8.9564 15.9705
angles (deg): 90.00 90.00 90.00
Space group I4/mcm (No. 140)
Inequivalent atoms, fractional coordinates:
1 Ac 0.0000 0.0000 0.2500 (multiplicity 4)
2 Pm 0.0000 0.5000 0.2500 (multiplicity 4)
3 Nd 0.1181 0.3819 0.0000 (multiplicity 8)
4 Sm 0.0000 0.0000 0.0000 (multiplicity 4)
5 Sm 0.2039 0.2961 0.3670 (multiplicity 16)


> What is the total energy in the ninth record?

-158.99 eV per cell


> Which value of total energy does entry 10 give?

-53.41 eV per cell